Below is crystalline La2Sm7Tm4 at its relaxed geometry, with properties calculated at the GGA-PBE level.

Spin magnetization, μB per atom: 0.000
DFT total energy, eV/atom: -4.4819
Energy of formation, eV/atom: 0.1931

Cell: 6.1746 6.1746 13.1939 Å, 90.00 90.00 120.00°
Last column: nearest neighbours and their distance in Å.
Positions (direct):
La 0.3333 0.6667 0.0000  9 Sm 3.55-3.56, 3 La 3.56
La 0.6667 0.3333 0.0000  9 Sm 3.55-3.56, 3 La 3.56
Sm 0.0000 0.0000 0.0000  6 La 3.56, 6 Sm 3.73
Sm 0.0000 0.3678 0.2244  1 Tm 3.19, 4 Sm 3.40, 2 La 3.55
Sm 0.0000 0.6322 0.7756  1 Tm 3.19, 4 Sm 3.40, 2 La 3.55
Sm 0.3678 0.0000 0.2244  1 Tm 3.19, 4 Sm 3.40, 2 La 3.55
Sm 0.3678 0.3678 0.7756  1 Tm 3.19, 4 Sm 3.40, 2 La 3.55
Sm 0.6322 0.0000 0.7756  1 Tm 3.19, 4 Sm 3.40, 2 La 3.55
Sm 0.6322 0.6322 0.2244  1 Tm 3.19, 4 Sm 3.40, 2 La 3.55
Tm 0.0000 0.0000 0.3939  1 Tm 2.80
Tm 0.0000 0.0000 0.6061  1 Tm 2.80
Tm 0.3333 0.6667 0.5000  9 Tm 3.56-3.83
Tm 0.6667 0.3333 0.5000  9 Tm 3.56-3.83

***

Below is crystalline KVAsS2 at its relaxed geometry, with properties calculated at the GGA-PBE level.

E_form (uncorrected), eV/atom: 0.154
Spin magnetization, μB per atom: 0.783
DFT total energy, eV/atom: -4.4705

Cell: 4.5598 4.5598 7.5978 Å, 90.00 90.00 90.00°
Last column: nearest neighbours and their distance in Å.
Positions (direct):
K 0.0000 0.0000 0.0000  4 As 3.22
V 0.0000 0.0000 0.5000  4 S 2.28
As 0.5000 0.5000 0.0000  4 K 3.22
S 0.0000 0.5000 0.5000  2 V 2.28
S 0.5000 0.0000 0.5000  2 V 2.28

***

Below is crystalline Ac2CdCo2 at its relaxed geometry, with properties calculated at the GGA-PBE level.

Spin magnetization, μB per atom: 0.346
DFT total energy, eV/atom: -4.7933
Energy of formation, eV/atom: -0.1246

Cell: 7.7105 7.7105 4.2771 Å, 90.00 90.00 149.32°
Last column: nearest neighbours and their distance in Å.
Positions (direct):
Ac 0.1354 0.8646 0.0000  6 Co 3.07-3.19
Ac 0.8646 0.1354 0.0000  6 Co 3.07-3.19
Cd 0.5000 0.5000 0.5000  2 Co 3.21, 8 Ac 3.58
Co 0.2839 0.7161 0.5000  2 Co 2.27
Co 0.7161 0.2839 0.5000  2 Co 2.27

***

- What is the DFT total energy in the first record?
  -4.4819 eV/atom

***

- Among the records above, which one has the highest DFT total energy?
  KVAsS2